[1]
6
Lattice="-2.629 2.629 2.527 2.629 -2.629 2.527 2.629 2.629 -2.527" Properties=species:S:1:pos:R:3 comment="Re2C | Alexandria via LeMat-Bulk | PBE | optimized geometry" formation_enthalpy_0k_kj_per_mol_fu=220 space_group="I4/mcm, No. 140" total_magnetization_mub_per_fu=0.000 pbc="T T T"
C 0.000 0.000 3.791
C 0.000 0.000 1.264
Re 1.682 -0.947 2.527
Re 1.682 0.947 0.000
Re 0.947 3.576 0.000
Re 0.947 1.682 2.527

***

[2]
4
Lattice="3.677 0.000 0.000 1.839 3.185 0.000 1.839 1.062 3.003" Properties=species:S:1:pos:R:3 comment="ReC3 | Alexandria via LeMat-Bulk | PBE | optimized geometry" formation_enthalpy_0k_kj_per_mol_fu=1102 space_group="Fm-3m, No. 225" total_magnetization_mub_per_fu=0.000 pbc="T T T"
C 0.000 0.000 0.000
C 3.677 2.123 1.501
C 1.839 1.062 0.751
Re 5.516 3.185 2.252

***

[3]
6
Lattice="2.359 -4.086 0.000 2.359 4.086 0.000 0.000 0.000 4.348" Properties=species:S:1:pos:R:3 comment="Re5C | Alexandria via LeMat-Bulk | PBE | optimized geometry" formation_enthalpy_0k_kj_per_mol_fu=467 space_group="P-62m, No. 189" total_magnetization_mub_per_fu=0.000 pbc="T T T"
Re 1.600 -2.771 0.000
Re 2.359 -1.362 2.174
Re 2.359 1.362 2.174
Re 1.518 0.000 0.000
Re 1.600 2.771 0.000
C 0.000 0.000 2.174

***

[4]
5
Lattice="-3.422 3.422 1.391 3.422 -3.422 1.391 3.422 3.422 -1.391" Properties=species:S:1:pos:R:3 comment="Re4C | Alexandria via LeMat-Bulk | PBE | optimized geometry" formation_enthalpy_0k_kj_per_mol_fu=158 space_group="I4/m, No. 87" total_magnetization_mub_per_fu=0.000 pbc="T T T"
Re 1.627 2.892 0.000
Re 3.951 1.627 0.000
Re -0.530 1.794 1.391
Re 1.794 0.530 1.391
C 0.000 0.000 0.000

***

Number 1: energy above the most stable polymorph in this dataset 793 meV per atom. Number 2: energy above the most stable polymorph in this dataset 2022 meV per atom. Number 3: energy above the most stable polymorph in this dataset 646 meV per atom. Number 4: energy above the most stable polymorph in this dataset 31 meV per atom.